1.
VASP calculation (PBE-GGA) on crystalline YPPb3 at its relaxed geometry.

Values from the calculation:
**Density**: 6.151 g cm⁻³
**Offset from the most stable computed form**: 3.192 eV/f.u.
**Formation enthalpy at 0 K**: 0.954 eV/atom

Cell and atoms, written as POSCAR:
```
YPPb3
1.0
5.850 0.000 0.000
0.000 5.850 0.000
0.000 0.000 5.850
Y P Pb
1 1 3
Direct
0.000 0.000 0.000 Y
0.500 0.500 0.500 P
0.000 0.000 0.500 Pb
0.000 0.500 0.000 Pb
0.500 0.000 0.000 Pb
```

---

2.
VASP calculation (PBE-GGA) on crystalline YPPb at its relaxed geometry.

Values from the calculation:
**Density**: 5.796 g cm⁻³
**Offset from the most stable computed form**: 0.819 eV/f.u.
**Formation enthalpy at 0 K**: -0.408 eV/atom

Cell and atoms, written as POSCAR:
```
YPPb
1.0
4.652 0.000 0.000
-2.326 4.029 0.000
0.000 0.000 9.999
Y P Pb
2 2 2
Direct
0.000 0.000 0.000 Y
0.000 0.000 0.500 Y
0.333 0.667 0.003 P
0.667 0.333 0.503 P
0.333 0.667 0.273 Pb
0.667 0.333 0.773 Pb
```

---

3.
VASP calculation (PBE-GGA) on crystalline YPPb at its relaxed geometry.

Values from the calculation:
**Density**: 6.785 g cm⁻³
**Offset from the most stable computed form**: 0.833 eV/f.u.
**Formation enthalpy at 0 K**: -0.404 eV/atom

Cell and atoms, written as POSCAR:
```
YPPb
1.0
0.000 3.421 3.421
3.421 0.000 3.421
3.421 3.421 0.000
Y P Pb
1 1 1
Direct
0.000 0.000 0.000 Y
0.250 0.250 0.250 P
0.500 0.500 0.500 Pb
```

---

4.
VASP calculation (PBE-GGA) on crystalline YPPb2 at its relaxed geometry.

Values from the calculation:
**Density**: 8.441 g cm⁻³
**Formation enthalpy at 0 K**: -0.269 eV/atom

Cell and atoms, written as POSCAR:
```
YPPb2
1.0
-1.852 2.659 5.338
1.852 -2.659 5.338
1.852 2.659 -5.338
Y P Pb
1 1 2
Direct
0.000 0.000 0.000 Y
0.808 0.308 0.500 P
0.285 0.785 0.500 Pb
0.571 0.571 0.000 Pb
```